{"formula": "SrZnFeBi2", "functional": "GGA-PBE", "state": "relaxed", "lattice": [[5.3116, 0.0000, 0.0000], [0.0000, 5.3116, 0.0000], [0.0000, 0.0000, 4.8816]], "species": ["Sr", "Zn", "Fe", "Bi", "Bi"], "fractional_positions": [[0.0000, 0.0000, 0.0000], [0.5000, 0.5000, 0.0000], [0.5000, 0.5000, 0.5000], [0.0000, 0.5000, 0.5000], [0.5000, 0.0000, 0.5000]], "spacegroup": "P4/mmm", "total_magnetization_mub_per_fu": 2.52, "delta_e_f_ev_per_fu": -0.215, "e_tot_ev_per_atom": -3.879}